The following is a PBE calculation of an optimized crystal structure of Cs2KTeCl6, from the Alexandria database.

Results
Energy above the lowest structure with this stoichiometry = 0.002 eV/atom
DOS at the Fermi energy = 11.05 states/eV/cell

a = 8.2247 Å, b = 8.2247 Å, c = 11.1524 Å
α = 90.00°, β = 90.00°, γ = 90.00°
Last column: nearest neighbours and their distance in Å.
Space group I4/mmm (No. 139)
Unique sites:
Cs: 0.0000 0.5000 0.2500  12 Cl 4.03-4.12
K: 0.0000 0.0000 0.0000  6 Cl 3.02
Te: 0.0000 0.0000 0.5000  6 Cl 2.55-2.80
Cl: 0.0000 0.0000 0.2712  1 Te 2.55
Cl: 0.2406 0.2406 0.5000  1 Te 2.80, 1 K 3.02